(1)
Density functional theory data (PBE) for crystalline Na3B5H12 at its relaxed geometry.

The crystal system is cubic.

It has space group Ia-3d (No. 230), with a = 11.367 Å, b = 11.367 Å, c = 11.367 Å, α = 90.00°, β = 90.00° and γ = 90.00°. Symmetry generates all atoms from Na at (0.000, 0.250, 0.125), B at (0.000, 0.000, 0.000), B at (0.000, 0.250, 0.375) and H at (0.026, 0.163, 0.937).

(2)
Density functional theory data (PBE) for crystalline Na3B2H8 at its relaxed geometry.

The crystal system is trigonal.

It has space group R-3m (No. 166, hexagonal axes), with a = 4.2447 Å, b = 4.2447 Å, c = 29.6594 Å, α = 90.00°, β = 90.00° and γ = 120.00°. Symmetry generates all atoms from Na at (0.0000, 0.0000, 0.0000), Na at (0.0000, 0.0000, 0.2199), B at (0.0000, 0.0000, 0.3892), H at (0.0000, 0.0000, 0.3478) and H at (0.0205, 0.5103, 0.2633).

(3)
Density functional theory data (PBE) for crystalline NaB4H12 at its relaxed geometry.

The crystal system is cubic.

It has space group Im-3m (No. 229), with a = 5.862 Å, b = 5.862 Å, c = 5.862 Å, α = 90.00°, β = 90.00° and γ = 90.00°. Symmetry generates all atoms from Na at (0.000, 0.000, 0.000), B at (0.250, 0.250, 0.250) and H at (0.000, 0.257, 0.257).

(4)
Density functional theory data (PBE) for crystalline NaBH4 at its relaxed geometry.

The crystal system is cubic.

It has space group F-43m (No. 216), with a = 6.057 Å, b = 6.057 Å, c = 6.057 Å, α = 90.00°, β = 90.00° and γ = 90.00°. Symmetry generates all atoms from Na at (0.000, 0.000, 0.000), B at (0.000, 0.000, 0.500) and H at (0.117, 0.117, 0.383).

(5)
Density functional theory data (PBE) for crystalline Na2BH at its relaxed geometry.

The crystal system is cubic.

It has space group Fm-3m (No. 225), with a = 6.389 Å, b = 6.389 Å, c = 6.389 Å, α = 90.00°, β = 90.00° and γ = 90.00°. Symmetry generates all atoms from Na at (0.250, 0.250, 0.250), B at (0.000, 0.000, 0.000) and H at (0.000, 0.000, 0.500).

(6)
Density functional theory data (PBE) for crystalline NaB5H at its relaxed geometry.

The crystal system is monoclinic.

It has space group C2/c (No. 15), with a = 10.795 Å, b = 4.791 Å, c = 4.140 Å, α = 90.00°, β = 90.06° and γ = 90.00°. Symmetry generates all atoms from Na at (0.000, 0.150, 0.250), B at (0.000, 0.333, 0.750), B at (0.157, 0.256, 0.750), B at (0.246, 0.001, 0.500) and H at (0.000, 0.500, 0.000).

(7)
Density functional theory data (PBE) for crystalline Na4BH5 at its relaxed geometry.

The crystal system is tetragonal.

It has space group I4 (No. 79), with a = 7.149 Å, b = 7.149 Å, c = 4.674 Å, α = 90.00°, β = 90.00° and γ = 90.00°. Symmetry generates all atoms from Na at (0.100, 0.711, 0.000), B at (0.000, 0.000, 0.429), H at (0.000, 0.000, 0.693) and H at (0.086, 0.724, 0.491).

(8)
Density functional theory data (PBE) for crystalline NaB3H at its relaxed geometry.

The crystal system is cubic.

It has space group Pm-3m (No. 221), with a = 4.705 Å, b = 4.705 Å, c = 4.705 Å, α = 90.00°, β = 90.00° and γ = 90.00°. Symmetry generates all atoms from Na at (0.000, 0.000, 0.000), B at (0.000, 0.000, 0.500) and H at (0.500, 0.500, 0.500).

Number 1: E_tot -71.62 eV/f.u.. Number 2: E_tot -47.92 eV/f.u.. Number 3: E_tot -61.53 eV/f.u.. Number 4: E_tot -23.43 eV/f.u.. Number 5: E_tot -8.37 eV/f.u.. Number 6: E_tot -35.15 eV/f.u.. Number 7: E_tot -27.06 eV/f.u.. Number 8: E_tot -8.01 eV/f.u..